DFT (PBE) results for an optimized crystal structure of Sr2MgSi3Au4.

POSCAR file:
```
Sr2MgSi3Au4
1.0
4.4252 0.0000 0.0000
0.0000 4.4252 0.0000
0.0000 0.0000 10.7577
Au Mg Si Sr
4 1 3 2
Cartesian
0.0000 0.0000 0.0000 Au
2.2126 2.2126 0.0000 Au
0.0000 2.2126 3.8843 Au
2.2126 0.0000 6.8734 Au
2.2126 2.2126 5.3789 Mg
0.0000 0.0000 5.3789 Si
0.0000 2.2126 1.3868 Si
2.2126 0.0000 9.3709 Si
2.2126 0.0000 2.5918 Sr
0.0000 2.2126 8.1659 Sr
```

Computed properties:
- total magnetic moment (μB per formula unit) = 0.00
- calculated density (g cm⁻³) = 8.447
- energy relative to the elements, uncorrected (eV/atom) = -0.530
- total DFT energy (no corrections) (eV per atom) = -3.96